[1]
CdGaAsO: optimized geometry, PBE-GGA.

Results
Total energy, eV per atom: -3.717

Cell lengths 3.900, 3.900, 9.146 Å; angles 90.00, 90.00, 90.00 degrees
Fractional coordinates of all 8 atoms:
As: 0.000 0.500 0.286
As: 0.500 0.000 0.714
Cd: 0.000 0.000 0.500
Cd: 0.500 0.500 0.500
Ga: 0.500 0.000 0.091
Ga: 0.000 0.500 0.909
O: 0.000 0.000 0.000
O: 0.500 0.500 0.000

[2]
CdGaAsO: optimized geometry, PBE-GGA.

Results
Total energy, eV per atom: -4.144

Cell lengths 4.004, 6.737, 5.774 Å; angles 90.00, 90.00, 90.00 degrees
Fractional coordinates of all 8 atoms:
As: 0.000 0.304 0.410
As: 0.000 0.696 0.910
Cd: 0.000 0.700 0.450
Cd: 0.000 0.300 0.950
Ga: 0.500 0.873 0.027
Ga: 0.500 0.127 0.527
O: 0.500 0.878 0.366
O: 0.500 0.122 0.866

[3]
Gd2CdAsP: optimized geometry, PBE-GGA.

Results
Total energy, eV per atom: -4.945

Cell lengths 9.028, 9.028, 6.448 Å; angles 90.00, 90.00, 153.89 degrees
Fractional coordinates of all 10 atoms:
As: 0.417 0.583 0.474
As: 0.583 0.417 0.974
Cd: 0.387 0.613 0.061
Cd: 0.613 0.387 0.561
Gd: 0.023 0.977 0.259
Gd: 0.799 0.201 0.442
Gd: 0.977 0.023 0.759
Gd: 0.201 0.799 0.942
P: 0.186 0.814 0.398
P: 0.814 0.186 0.898

[4]
SrGdCdAs2: optimized geometry, PBE-GGA.

Results
Total energy, eV per atom: -4.216

Cell lengths 9.131, 9.131, 6.907 Å; angles 90.00, 90.00, 152.59 degrees
Fractional coordinates of all 10 atoms:
As: 0.558 0.442 0.044
As: 0.825 0.175 0.073
As: 0.442 0.558 0.544
As: 0.175 0.825 0.573
Cd: 0.606 0.394 0.425
Cd: 0.394 0.606 0.925
Gd: 0.972 0.028 0.251
Gd: 0.028 0.972 0.751
Sr: 0.196 0.804 0.072
Sr: 0.804 0.196 0.572

[5]
CdGe2As: optimized geometry, PBE-GGA.

Results
Total energy, eV per atom: -3.388

Cell lengths 4.896, 4.896, 4.896 Å; angles 60.00, 60.00, 60.00 degrees
Fractional coordinates of all 4 atoms:
As: 0.500 0.500 0.500
Cd: 0.250 0.250 0.250
Ge: 0.000 0.000 0.000
Ge: 0.750 0.750 0.750

[6]
KCdGeAs2: optimized geometry, PBE-GGA.

Results
Total energy, eV per atom: -3.497

Cell lengths 8.113, 8.551, 8.824 Å; angles 70.87, 75.24, 73.43 degrees
Fractional coordinates of all 20 atoms:
As: 0.244 0.131 0.036
As: 0.249 0.553 0.168
As: 0.772 0.408 0.320
As: 0.794 0.874 0.465
As: 0.206 0.126 0.535
As: 0.228 0.592 0.680
As: 0.751 0.447 0.832
As: 0.756 0.869 0.964
Cd: 0.972 0.825 0.167
Cd: 0.007 0.102 0.313
Cd: 0.993 0.898 0.687
Cd: 0.028 0.175 0.833
Ge: 0.840 0.552 0.026
Ge: 0.045 0.414 0.401
Ge: 0.955 0.586 0.599
Ge: 0.160 0.448 0.974
K: 0.561 0.197 0.190
K: 0.457 0.765 0.323
K: 0.543 0.235 0.677
K: 0.439 0.803 0.810

[7]
MgCdGe2As4: optimized geometry, PBE-GGA.

Results
Total energy, eV per atom: -3.974

Cell lengths 7.089, 7.089, 7.089 Å; angles 129.49, 129.49, 74.23 degrees
Fractional coordinates of all 8 atoms:
As: 0.148 0.619 0.022
As: 0.873 0.852 0.471
As: 0.381 0.402 0.529
As: 0.598 0.127 0.978
Cd: 0.000 0.000 0.000
Ge: 0.500 0.500 0.000
Ge: 0.250 0.750 0.500
Mg: 0.750 0.250 0.500

[8]
Cd2GeAs4Os: optimized geometry, PBE-GGA.

Results
Total energy, eV per atom: -4.425

Cell lengths 7.143, 7.143, 7.143 Å; angles 130.25, 130.25, 73.01 degrees
Fractional coordinates of all 8 atoms:
As: 0.618 0.167 0.027
As: 0.833 0.859 0.451
As: 0.408 0.382 0.549
As: 0.141 0.592 0.973
Cd: 0.000 0.000 0.000
Cd: 0.250 0.750 0.500
Ge: 0.750 0.250 0.500
Os: 0.500 0.500 0.000

[9]
CdGeAsP: optimized geometry, PBE-GGA.

Results
Total energy, eV per atom: -3.988

Cell lengths 7.002, 7.002, 7.002 Å; angles 130.41, 129.61, 73.40 degrees
Fractional coordinates of all 8 atoms:
As: 0.250 0.976 0.726
As: 0.750 0.524 0.774
Cd: 0.366 0.116 0.250
Cd: 0.134 0.384 0.750
Ge: 0.871 0.621 0.250
Ge: 0.629 0.879 0.750
P: 0.964 0.250 0.214
P: 0.536 0.750 0.286

[10]
CdGeAsP: optimized geometry, PBE-GGA.

Results
Total energy, eV per atom: -3.991

Cell lengths 5.925, 5.925, 6.956 Å; angles 114.81, 114.81, 90.00 degrees
Fractional coordinates of all 8 atoms:
As: 0.595 0.874 0.250
As: 0.874 0.595 0.750
Cd: 0.751 0.014 0.000
Cd: 0.014 0.751 0.500
Ge: 0.251 0.487 0.000
Ge: 0.487 0.251 0.500
P: 0.155 0.374 0.250
P: 0.374 0.155 0.750

[11]
Cd2Ge2As3P: optimized geometry, PBE-GGA.

Results
Total energy, eV per atom: -3.897

Cell lengths 7.056, 7.056, 5.974 Å; angles 114.53, 114.53, 50.39 degrees
Fractional coordinates of all 8 atoms:
As: 0.594 0.406 0.000
As: 0.373 0.127 0.276
As: 0.873 0.627 0.724
Cd: 0.762 0.995 0.137
Cd: 0.005 0.238 0.863
Ge: 0.491 0.754 0.379
Ge: 0.246 0.509 0.621
P: 0.156 0.844 0.500

[12]
Cd2Ge2AsP3: optimized geometry, PBE-GGA.

Results
Total energy, eV per atom: -4.086

Cell lengths 6.890, 6.890, 5.882 Å; angles 114.72, 114.72, 50.19 degrees
Fractional coordinates of all 8 atoms:
As: 0.153 0.847 0.500
Cd: 0.995 0.262 0.371
Cd: 0.738 0.005 0.629
Ge: 0.254 0.492 0.117
Ge: 0.508 0.746 0.883
P: 0.596 0.404 0.000
P: 0.378 0.123 0.216
P: 0.877 0.622 0.784

[13]
Cd2SiGeAs4: optimized geometry, PBE-GGA.

Results
Total energy, eV per atom: -3.921

Cell lengths 7.083, 7.083, 7.083 Å; angles 129.81, 129.81, 73.72 degrees
Fractional coordinates of all 8 atoms:
As: 0.622 0.161 0.026
As: 0.839 0.865 0.461
As: 0.405 0.378 0.539
As: 0.135 0.595 0.974
Cd: 0.000 0.000 0.000
Cd: 0.250 0.750 0.500
Ge: 0.750 0.250 0.500
Si: 0.500 0.500 0.000

[14]
Cd2TcGeAs4: optimized geometry, PBE-GGA.

Results
Total energy, eV per atom: -4.370

Cell lengths 7.107, 7.107, 7.107 Å; angles 129.64, 129.64, 73.99 degrees
Fractional coordinates of all 8 atoms:
As: 0.121 0.667 0.029
As: 0.333 0.362 0.455
As: 0.908 0.879 0.545
As: 0.638 0.092 0.971
Cd: 0.500 0.500 0.000
Cd: 0.750 0.250 0.500
Ge: 0.250 0.750 0.500
Tc: 0.000 0.000 0.000

[15]
Hf2CdAs: optimized geometry, PBE-GGA.

Results
Total energy, eV per atom: -5.999

Cell lengths 4.925, 4.925, 4.925 Å; angles 60.00, 60.00, 60.00 degrees
Each line ends with the local moment (μB).
Fractional coordinates of all 4 atoms:
As: 0.500 0.500 0.500  -0.03
Cd: 0.250 0.250 0.250  0.02
Hf: 0.000 0.000 0.000  0.70
Hf: 0.750 0.750 0.750  0.58

[16]
HfCdAs2: optimized geometry, PBE-GGA.

Results
Total energy, eV per atom: -4.847

Cell lengths 4.853, 4.853, 4.853 Å; angles 60.00, 60.00, 60.00 degrees
Fractional coordinates of all 4 atoms:
As: 0.000 0.000 0.000
As: 0.250 0.250 0.250
Cd: 0.500 0.500 0.500
Hf: 0.750 0.750 0.750

[17]
Hf3Cd4As4: optimized geometry, PBE-GGA.

Results
Total energy, eV per atom: -5.004

Cell lengths 7.364, 3.894, 8.269 Å; angles 90.00, 97.26, 90.00 degrees
Fractional coordinates of all 11 atoms:
As: 0.169 0.000 0.189
As: 0.687 0.000 0.312
As: 0.426 0.500 0.637
As: 0.814 0.500 0.890
Cd: 0.188 0.000 0.511
Cd: 0.961 0.500 0.597
Cd: 0.216 0.500 0.920
Cd: 0.529 0.000 0.979
Hf: 0.909 0.500 0.213
Hf: 0.425 0.500 0.301
Hf: 0.675 0.000 0.649

[18]
HfCdNiAs: optimized geometry, PBE-GGA.

Results
Total energy, eV per atom: -5.238

Cell lengths 4.600, 4.600, 4.600 Å; angles 60.00, 60.00, 60.00 degrees
Fractional coordinates of all 4 atoms:
As: 0.000 0.000 0.000
Cd: 0.500 0.500 0.500
Hf: 0.250 0.250 0.250
Ni: 0.750 0.750 0.750

[19]
CdHg2As: optimized geometry, PBE-GGA.

Results
Total energy, eV per atom: -1.339

Cell lengths 5.094, 5.094, 5.094 Å; angles 60.00, 60.00, 60.00 degrees
Fractional coordinates of all 4 atoms:
As: 0.500 0.500 0.500
Cd: 0.250 0.250 0.250
Hg: 0.000 0.000 0.000
Hg: 0.750 0.750 0.750

[20]
HoCdAsO: optimized geometry, PBE-GGA.

Results
Total energy, eV per atom: -5.234

Cell lengths 4.483, 6.104, 6.135 Å; angles 90.00, 90.00, 90.00 degrees
Fractional coordinates of all 8 atoms:
As: 0.000 0.764 0.386
As: 0.000 0.236 0.886
Cd: 0.500 0.361 0.044
Cd: 0.500 0.639 0.544
Ho: 0.000 0.237 0.415
Ho: 0.000 0.763 0.915
O: 0.500 0.280 0.409
O: 0.500 0.720 0.909